Record 1
An optimized crystal structure of La6GaNi2Cl3. Source: the Alexandria database, functional PBE.

extended XYZ file:
```
12
Lattice="9.523 -2.044 0.000 9.523 2.044 0.000 -2.310 0.000 8.597" Properties=species:S:1:pos:R:3 pbc="T T T"
La -0.469 0.000 2.194
La 5.198 0.000 3.780
La 4.340 0.000 7.606
La 12.396 0.000 0.990
La 11.538 0.000 4.817
La 17.205 0.000 6.402
Ga 9.523 0.000 0.000
Ni 2.412 0.000 2.916
Ni 14.325 0.000 5.681
Cl 1.185 0.000 7.196
Cl 8.368 0.000 4.298
Cl 15.552 0.000 1.400
```

Uncorrected formation energy ... -0.987 eV per atom
Space-group type ... C2/m, No. 12

Record 2
An optimized crystal structure of TaFeAu2. Source: the Alexandria database, functional PBE.

extended XYZ file:
```
4
Lattice="2.876 0.000 0.000 0.000 3.967 0.000 0.000 0.000 5.805" Properties=species:S:1:pos:R:3 pbc="T T T"
Ta 0.000 0.000 0.000
Fe 0.000 0.000 2.902
Au 1.438 1.983 1.497
Au 1.438 1.983 4.308
```

Space-group type ... Pmmm, No. 47
Energy above the lowest structure with this stoichiometry ... 99 meV per atom

Record 3
An optimized crystal structure of Ti3AlZn2. Source: the Alexandria database, functional PBE.

extended XYZ file:
```
6
Lattice="2.836 0.000 0.000 0.000 2.836 0.000 0.000 0.000 11.735" Properties=species:S:1:pos:R:3 pbc="T T T"
Ti 0.000 0.000 0.000
Ti 0.000 0.000 3.888
Ti 0.000 0.000 7.847
Al 1.418 1.418 5.868
Zn 1.418 1.418 1.936
Zn 1.418 1.418 9.799
```

Calculated total energy ... -5.26 eV/atom
Space-group type ... P4/mmm, No. 123

Record 4
An optimized crystal structure of SiH3Br. Source: the Alexandria database, functional PBE.

extended XYZ file:
```
5
Lattice="3.678 0.000 0.000 0.000 3.678 0.000 0.000 0.000 3.678" Properties=species:S:1:pos:R:3 pbc="T T T"
Si 0.000 0.000 0.000
H 0.000 0.000 1.839
H 0.000 1.839 0.000
H 1.839 0.000 0.000
Br 1.839 1.839 1.839
```

Calculated total energy ... -2.94 eV/atom
Space-group type ... Pm-3m, No. 221

Record 5
An optimized crystal structure of Sr5CrH2N4. Source: the Alexandria database, functional PBE.

extended XYZ file:
```
12
Lattice="7.435 0.000 0.000 0.000 4.840 3.045 0.000 -4.840 3.045" Properties=species:S:1:pos:R:3 pbc="T T T"
Sr 0.000 0.000 0.000
Sr 2.047 -1.749 2.927
Sr 2.047 1.749 2.927
Sr 5.388 -1.749 2.927
Sr 5.388 1.749 2.927
Cr 3.717 0.000 6.006
H 0.000 -2.319 4.540
H 0.000 2.319 4.540
N 2.273 0.000 0.997
N 3.717 -1.461 4.927
N 3.717 1.461 4.927
N 5.161 0.000 0.997
```

Calculated total energy ... -5.42 eV/atom
Space-group type ... Amm2, No. 38

Record 6
An optimized crystal structure of PaBi2Pb. Source: the Alexandria database, functional PBE.

extended XYZ file:
```
12
Lattice="4.500 0.000 0.000 -2.250 3.897 0.000 0.000 0.000 23.957" Properties=species:S:1:pos:R:3 pbc="T T T"
Pa 0.000 0.000 0.000
Pa 0.000 2.598 15.972
Pa 2.250 1.299 7.986
Bi 0.000 0.000 9.826
Bi 0.000 0.000 14.130
Bi 0.000 2.598 1.840
Bi 0.000 2.598 6.144
Bi 2.250 1.299 17.812
Bi 2.250 1.299 22.116
Pb 0.000 0.000 4.017
Pb 0.000 2.598 19.989
Pb 2.250 1.299 12.003
```

Space-group type ... R3m, No. 160
Energy above the lowest structure with this stoichiometry ... 176 meV per atom

Record 7
An optimized crystal structure of NaSrAcMg. Source: the Alexandria database, functional PBE.

extended XYZ file:
```
16
Lattice="8.526 0.000 0.000 0.000 8.526 0.000 0.000 0.000 8.526" Properties=species:S:1:pos:R:3 pbc="T T T"
Na 0.000 0.000 0.000
Na 0.000 4.263 4.263
Na 4.263 0.000 4.263
Na 4.263 4.263 0.000
Sr 2.132 2.132 2.132
Sr 2.132 6.395 6.395
Sr 6.395 2.132 6.395
Sr 6.395 6.395 2.132
Ac 2.132 2.132 6.395
Ac 2.132 6.395 2.132
Ac 6.395 2.132 2.132
Ac 6.395 6.395 6.395
Mg 0.000 0.000 4.263
Mg 0.000 4.263 0.000
Mg 4.263 0.000 0.000
Mg 4.263 4.263 4.263
```

Calculated total energy ... -2.11 eV/atom
Space-group type ... F-43m, No. 216

Record 8
An optimized crystal structure of BaNaAg2Br8. Source: the Alexandria database, functional PBE.

extended XYZ file:
```
12
Lattice="-3.921 3.921 6.498 3.921 -3.921 6.498 3.921 3.921 -6.498" Properties=species:S:1:pos:R:3 pbc="T T T"
Ba 0.000 0.000 0.000
Na 0.000 3.921 3.249
Ag 3.921 0.000 3.249
Ag 0.000 0.000 6.498
Br 3.195 1.434 -0.406
Br 2.490 3.473 -3.493
Br 1.432 0.448 3.006
Br 2.487 -0.727 6.904
Br 4.369 2.490 3.493
Br 1.434 4.648 0.406
Br 0.727 2.487 6.092
Br -0.448 1.432 9.991
```

Uncorrected formation energy ... -0.802 eV per atom
Space-group type ... I-4, No. 82

Record 9
An optimized crystal structure of TbPuInAg. Source: the Alexandria database, functional PBE.

extended XYZ file:
```
16
Lattice="7.482 0.000 0.000 0.000 7.482 0.000 0.000 0.000 7.482" Properties=species:S:1:pos:R:3 pbc="T T T"
Tb 0.000 0.000 0.000
Tb 0.000 3.741 3.741
Tb 3.741 0.000 3.741
Tb 3.741 3.741 0.000
Pu 0.000 0.000 3.741
Pu 0.000 3.741 0.000
Pu 3.741 0.000 0.000
Pu 3.741 3.741 3.741
In 1.871 1.871 5.612
In 1.871 5.612 1.871
In 5.612 1.871 1.871
In 5.612 5.612 5.612
Ag 1.871 1.871 1.871
Ag 1.871 5.612 5.612
Ag 5.612 1.871 5.612
Ag 5.612 5.612 1.871
```

Calculated total energy ... -6.29 eV/atom
Space-group type ... F-43m, No. 216

Record 10
An optimized crystal structure of AcNdDyTm. Source: the Alexandria database, functional PBE.

extended XYZ file:
```
16
Lattice="8.279 0.000 0.000 0.000 8.279 0.000 0.000 0.000 8.279" Properties=species:S:1:pos:R:3 pbc="T T T"
Ac 0.000 0.000 0.000
Ac 0.000 4.139 4.139
Ac 4.139 0.000 4.139
Ac 4.139 4.139 0.000
Nd 0.000 0.000 4.139
Nd 0.000 4.139 0.000
Nd 4.139 0.000 0.000
Nd 4.139 4.139 4.139
Dy 2.070 2.070 6.209
Dy 2.070 6.209 2.070
Dy 6.209 2.070 2.070
Dy 6.209 6.209 6.209
Tm 2.070 2.070 2.070
Tm 2.070 6.209 6.209
Tm 6.209 2.070 6.209
Tm 6.209 6.209 2.070
```

Space-group type ... F-43m, No. 216
Energy above the lowest structure with this stoichiometry ... 44 meV per atom

Record 11
An optimized crystal structure of Y5As3. Source: the Alexandria database, functional PBE.

extended XYZ file:
```
16
Lattice="3.421 -7.791 0.000 3.421 7.791 0.000 -1.958 0.000 7.581" Properties=species:S:1:pos:R:3 pbc="T T T"
Y 0.635 4.827 6.064
Y 0.645 1.670 4.749
Y 1.771 0.000 0.142
Y 4.248 4.827 1.517
Y 0.645 -1.670 4.749
Y 4.238 1.670 2.832
Y 0.635 -4.827 6.064
Y 3.112 0.000 7.439
Y 4.238 -1.670 2.832
Y 4.248 -4.827 1.517
As -0.103 0.000 2.277
As 2.442 3.851 3.791
As 3.421 2.444 0.000
As 3.421 -2.444 0.000
As 2.442 -3.851 3.791
As 4.986 0.000 5.305
```

Space-group type ... C2/m, No. 12
Energy above the lowest structure with this stoichiometry ... 113 meV per atom

Record 12
An optimized crystal structure of K2SbSe. Source: the Alexandria database, functional PBE.

extended XYZ file:
```
8
Lattice="3.764 0.000 0.000 0.000 5.662 0.000 0.000 0.000 12.759" Properties=species:S:1:pos:R:3 pbc="T T T"
K 0.000 0.000 0.000
K 0.000 2.831 2.735
K 1.882 0.000 9.114
K 1.882 2.831 6.379
Sb 0.000 2.831 10.405
Sb 1.882 0.000 4.026
Se 0.000 0.000 6.242
Se 1.882 2.831 12.621
```

Uncorrected formation energy ... -0.517 eV per atom
Space-group type ... Imm2, No. 44
Energy above the lowest structure with this stoichiometry ... 0 meV per atom